Record 1
La2PC | SCAN | PBEsol geometry

Computed properties:
Crystal system ... triclinic
Formation energy from the elements ... -1028 meV per atom
E_tot ... -886.56 eV for the cell shown
Space group ... No. 1

Lattice parameters (Å, degrees): 8.7621 8.7980 8.9494 90.06 90.22 90.27
Element x y z (fractional)
La1 0.7035 0.3085 0.8130
La2 0.5465 0.5720 0.4406
La3 0.3167 0.2066 0.3230
La4 0.6879 0.1795 0.1839
La5 0.9396 0.0530 0.5671
La6 0.0666 0.4341 0.0477
La7 0.5736 0.9383 0.5618
La8 0.2893 0.3273 0.6906
La9 0.0424 0.0622 0.9338
La10 0.9440 0.4436 0.4475
La11 0.8252 0.8063 0.2104
La12 0.4602 0.9392 0.9274
La13 0.4329 0.5641 0.0686
La14 0.8250 0.6942 0.7936
La15 0.1895 0.7941 0.3273
La16 0.1845 0.6895 0.6906
P1 0.5014 0.8767 0.2460
P2 0.6245 0.2587 0.5000
P3 0.0060 0.1235 0.2548
P4 0.3693 0.2454 0.0000
P5 0.5020 0.6293 0.7586
P6 0.2605 0.0034 0.6275
P7 0.7523 0.5000 0.1217
P8 0.1268 0.7568 0.0046
C1 0.7460 0.0318 0.9478
C2 0.9478 0.7515 0.4861
C3 0.7490 0.9919 0.8002
C4 0.9815 0.4473 0.7533
C5 0.9945 0.2940 0.7282
C6 0.2436 0.5013 0.2981
C7 0.7955 0.7205 0.4967
C8 0.2466 0.4803 0.4494

---

Record 2
RbNa2N2 | SCAN | PBEsol geometry

Computed properties:
Uncorrected formation energy ... 0.041 eV/atom
Crystal system ... tetragonal
E_tot ... -95.09 eV for the cell shown
Space group ... No. 127

Lattice parameters (Å, degrees): 6.8344 6.8344 7.1567 90.00 90.00 90.00
Element x y z (fractional)
Na1 0.1838 0.6838 0.5000
Na2 0.3162 0.1838 0.5000
Na3 0.8162 0.3162 0.5000
Na4 0.6838 0.8162 0.5000
N1 0.0597 0.4403 0.0000
N2 0.4403 0.9403 0.0000
N3 0.5597 0.0597 0.0000
N4 0.9403 0.5597 0.0000
Rb1 0.0000 0.0000 0.0000
Rb2 0.5000 0.5000 0.0000

---

Record 3
LaCdTc2 | SCAN | PBEsol geometry

Computed properties:
Crystal system ... orthorhombic
Formation energy from the elements ... 638 meV per atom
E_tot ... -141.09 eV for the cell shown
Space group ... No. 65

Lattice parameters (Å, degrees): 2.9767 2.9767 8.9044 90.00 90.00 115.88
Element x y z (fractional)
Cd1 0.5000 0.5000 0.5000
Tc1 0.0000 0.0000 0.2426
Tc2 0.0000 0.0000 0.7574
La1 0.5000 0.5000 0.0000

---

Record 4
KYMg2As | SCAN | PBEsol geometry

Computed properties:
Crystal system ... tetragonal
Formation energy from the elements ... 1362 meV per atom
E_tot ... -59.50 eV for the cell shown
Space group ... No. 123

Lattice parameters (Å, degrees): 5.2075 5.2075 5.7826 90.00 90.00 90.00
Element x y z (fractional)
Mg1 0.0000 0.5000 0.0000
Mg2 0.5000 0.0000 0.0000
Y1 0.0000 0.0000 0.5000
K1 0.0000 0.0000 0.0000
As1 0.5000 0.5000 0.5000

---

Record 5
CeGeBi2 | SCAN | PBEsol geometry

Computed properties:
Crystal system ... tetragonal
Formation energy from the elements ... -411 meV per atom
E_tot ... -444.91 eV for the cell shown
Space group ... No. 139

Lattice parameters (Å, degrees): 4.5552 4.5552 10.4523 102.59 102.59 90.00
Element x y z (fractional)
Ce1 0.1206 0.1206 0.2413
Ce2 0.8794 0.8794 0.7587
Bi1 0.7500 0.2500 0.5000
Bi2 0.2500 0.7500 0.5000
Bi3 0.5000 0.0000 0.0000
Bi4 0.0000 0.5000 0.0000
Ge1 0.3809 0.3809 0.7618
Ge2 0.6191 0.6191 0.2382

---

Record 6
MoSe3F | SCAN | PBEsol geometry

Computed properties:
Uncorrected formation energy ... 0.763 eV/atom
Crystal system ... cubic
E_tot ... -94.85 eV for the cell shown
Space group ... No. 221

Lattice parameters (Å, degrees): 4.5153 4.5153 4.5153 90.00 90.00 90.00
Element x y z (fractional)
Se1 0.0000 0.0000 0.5000
Se2 0.5000 0.0000 0.0000
Se3 0.0000 0.5000 0.0000
F1 0.0000 0.0000 0.0000
Mo1 0.5000 0.5000 0.5000

---

Record 7
As2Rh2Pb | SCAN | PBEsol geometry

Computed properties:
Crystal system ... tetragonal
Formation energy from the elements ... -357 meV per atom
E_tot ... -185.49 eV for the cell shown
Space group ... No. 139

Lattice parameters (Å, degrees): 4.0336 4.0336 6.5117 108.04 108.04 90.00
Element x y z (fractional)
Rh1 0.2500 0.7500 0.5000
Rh2 0.7500 0.2500 0.5000
Pb1 0.0000 0.0000 0.0000
As1 0.3669 0.3669 0.7337
As2 0.6331 0.6331 0.2663

---

Record 8
TcSb2SeI | SCAN | PBEsol geometry

Computed properties:
Uncorrected formation energy ... 0.567 eV/atom
Crystal system ... tetragonal
E_tot ... -163.57 eV for the cell shown
Space group ... No. 123

Lattice parameters (Å, degrees): 5.1065 5.1065 5.1494 90.00 90.00 90.00
Element x y z (fractional)
Tc1 0.0000 0.0000 0.0000
Sb1 0.0000 0.5000 0.0000
Sb2 0.5000 0.0000 0.0000
Se1 0.5000 0.5000 0.5000
I1 0.0000 0.0000 0.5000

---

Record 9
TlRh2Se | SCAN | PBEsol geometry

Computed properties:
Uncorrected formation energy ... 0.022 eV/atom
Crystal system ... orthorhombic
E_tot ... -159.89 eV for the cell shown
Space group ... No. 44

Lattice parameters (Å, degrees): 3.3214 3.8601 5.9484 108.93 106.21 90.00
Element x y z (fractional)
Rh1 0.0176 0.0176 0.0352
Rh2 0.8033 0.3033 0.6067
Tl1 0.2117 0.7117 0.4235
Se1 0.4673 0.4673 0.9346

---

Record 10
Ba2SrAl | SCAN | PBEsol geometry

Computed properties:
Crystal system ... tetragonal
Formation energy from the elements ... -29 meV per atom
E_tot ... -109.24 eV for the cell shown
Space group ... No. 99

Lattice parameters (Å, degrees): 4.0805 4.0805 10.5042 90.00 90.00 90.00
Element x y z (fractional)
Ba1 0.5000 0.5000 0.2622
Ba2 0.0000 0.0000 0.9275
Sr1 0.0000 0.0000 0.5722
Al1 0.5000 0.5000 0.7381

---

Record 11
Fe4RePt | SCAN | PBEsol geometry

Computed properties:
Crystal system ... cubic
Formation energy from the elements ... -5 meV per atom
E_tot ... -213.84 eV for the cell shown
Space group ... No. 216

Lattice parameters (Å, degrees): 4.6344 4.6344 4.6344 60.00 60.00 60.00
Element x y z (fractional)
Re1 0.0000 0.0000 0.0000
Fe1 0.3750 0.8751 0.3750
Fe2 0.3750 0.3750 0.3750
Fe3 0.8751 0.3750 0.3750
Fe4 0.3750 0.3750 0.8751
Pt1 0.7500 0.7500 0.7500

---

Record 12
AlIn2Cl | SCAN | PBEsol geometry

Computed properties:
Uncorrected formation energy ... -0.250 eV/atom
Crystal system ... monoclinic
E_tot ... -83.50 eV for the cell shown
Space group ... No. 12

Lattice parameters (Å, degrees): 3.1581 5.5003 5.5003 90.00 78.03 78.03
Element x y z (fractional)
In1 0.0000 0.0000 0.5000
In2 0.0000 0.5000 0.0000
Cl1 0.5000 0.5000 0.5000
Al1 0.5000 0.0000 0.0000

---

Record 13
K2MoAs | SCAN | PBEsol geometry

Computed properties:
Crystal system ... orthorhombic
Formation energy from the elements ... 762 meV per atom
E_tot ... -68.68 eV for the cell shown
Space group ... No. 65

Lattice parameters (Å, degrees): 2.8009 2.8009 11.3515 90.00 90.00 90.35
Element x y z (fractional)
K1 0.0000 0.0000 0.7701
K2 0.0000 0.0000 0.2299
As1 0.5000 0.5000 0.0000
Mo1 0.5000 0.5000 0.5000

---

Record 14
Li3VF6 | SCAN | PBEsol geometry

Computed properties:
Uncorrected formation energy ... -3.165 eV/atom
Crystal system ... trigonal
E_tot ... -155.09 eV for the cell shown
Space group ... No. 148

Lattice parameters (Å, degrees): 5.9144 5.9144 5.9144 91.31 91.31 91.31
Element x y z (fractional)
Li1 0.5562 0.2498 0.0618
Li2 0.2498 0.0618 0.5562
Li3 0.7502 0.9382 0.4438
Li4 0.4438 0.7502 0.9382
Li5 0.9382 0.4438 0.7502
Li6 0.0618 0.5562 0.2498
F1 0.1933 0.3972 0.5492
F2 0.6028 0.4508 0.8067
F3 0.9169 0.0752 0.6946
F4 0.0831 0.9248 0.3054
F5 0.0752 0.6946 0.9169
F6 0.8067 0.6028 0.4508
F7 0.3054 0.0831 0.9248
F8 0.5492 0.1933 0.3972
F9 0.4508 0.8067 0.6028
F10 0.9248 0.3054 0.0831
F11 0.3972 0.5492 0.1933
F12 0.6946 0.9169 0.0752
V1 0.5000 0.5000 0.5000
V2 0.0000 0.0000 0.0000

---

Record 15
Li7Cr3W2O16 | SCAN | PBEsol geometry

Computed properties:
Uncorrected formation energy ... -2.296 eV/atom
Crystal system ... monoclinic
E_tot ... -375.26 eV for the cell shown
Space group ... No. 8

Lattice parameters (Å, degrees): 5.7581 5.8017 9.5269 90.57 90.00 119.75
Element x y z (fractional)
O1 0.2981 0.5962 0.8869
O2 0.5206 0.0412 0.1599
O3 0.0075 0.0150 0.2050
O4 0.1736 0.8393 0.4114
O5 0.8258 0.1683 0.9140
O6 0.3425 0.1683 0.9140
O7 0.5036 0.4638 0.1595
O8 0.0168 0.0336 0.7076
O9 0.1756 0.3512 0.3966
O10 0.6657 0.8393 0.4114
O11 0.8272 0.6545 0.9254
O12 0.6448 0.2897 0.3899
O13 0.4810 0.9620 0.6488
O14 0.9602 0.4638 0.1595
O15 0.0354 0.4959 0.6442
O16 0.4605 0.4959 0.6442
Cr1 0.1781 0.3562 0.7608
Cr2 0.3500 0.1964 0.2781
Cr3 0.8464 0.1964 0.2781
Li1 0.0010 0.0021 0.0063
Li2 0.3324 0.6648 0.0947
Li3 0.6635 0.3271 0.5963
Li4 0.8345 0.6690 0.2925
Li5 0.6591 0.8250 0.7905
Li6 0.1659 0.8250 0.7905
Li7 0.0101 0.0201 0.5123
W1 0.6656 0.3311 0.0015
W2 0.3554 0.7109 0.5121

---

Record 16
CaTe3Pb | SCAN | PBEsol geometry

Computed properties:
Uncorrected formation energy ... -0.152 eV/atom
Crystal system ... cubic
E_tot ... -197.96 eV for the cell shown
Space group ... No. 221

Lattice parameters (Å, degrees): 5.7366 5.7366 5.7366 90.00 90.00 90.00
Element x y z (fractional)
Te1 0.0000 0.5000 0.0000
Te2 0.5000 0.0000 0.0000
Te3 0.0000 0.0000 0.5000
Ca1 0.5000 0.5000 0.5000
Pb1 0.0000 0.0000 0.0000

---

Record 17
Ca2ZrCd | SCAN | PBEsol geometry

Computed properties:
Crystal system ... orthorhombic
Formation energy from the elements ... 171 meV per atom
E_tot ... -79.75 eV for the cell shown
Space group ... No. 71

Lattice parameters (Å, degrees): 3.7360 5.2181 6.2976 114.43 107.26 90.00
Element x y z (fractional)
Zr1 0.5000 0.0000 0.0000
Cd1 0.0000 0.5000 0.0000
Ca1 0.7316 0.7316 0.4631
Ca2 0.2684 0.2684 0.5369

---

Record 18
Dy3Y | SCAN | PBEsol geometry

Computed properties:
Crystal system ... tetragonal
Formation energy from the elements ... 30 meV per atom
E_tot ... -171.11 eV for the cell shown
Space group ... No. 139

Lattice parameters (Å, degrees): 4.9167 4.9167 6.0236 114.09 114.09 90.00
Element x y z (fractional)
Dy1 0.2500 0.7500 0.5000
Dy2 0.5000 0.5000 0.0000
Dy3 0.7500 0.2500 0.5000
Y1 0.0000 0.0000 0.0000

---

Record 19
ScIrCl2 | SCAN | PBEsol geometry

Computed properties:
Uncorrected formation energy ... 0.240 eV/atom
Crystal system ... trigonal
E_tot ... -100.33 eV for the cell shown
Space group ... No. 166

Lattice parameters (Å, degrees): 3.1914 3.1914 8.7913 79.54 79.54 60.00
Element x y z (fractional)
Cl1 0.0938 0.0938 0.7186
Cl2 0.9062 0.9062 0.2814
Ir1 0.5000 0.5000 0.5000
Sc1 0.0000 0.0000 0.0000

---

Record 20
TiSbBr2 | SCAN | PBEsol geometry

Computed properties:
Uncorrected formation energy ... -0.380 eV/atom
Crystal system ... tetragonal
E_tot ... -187.46 eV for the cell shown
Space group ... No. 122

Lattice parameters (Å, degrees): 5.3468 6.9152 6.9152 81.40 67.26 67.26
Element x y z (fractional)
Br1 0.4910 0.1340 0.6340
Br2 0.8750 0.6340 0.8660
Br3 0.3750 0.3660 0.1340
Br4 0.2590 0.8660 0.3660
Sb1 0.7500 0.5000 0.5000
Sb2 0.0000 0.0000 0.0000
Ti1 0.2500 0.5000 0.5000
Ti2 0.5000 0.0000 0.0000